Below is a relaxed TmMnSn2Te5 crystal, with properties calculated at the PBE-GGA level.

Lattice parameters (Å, degrees): 4.293 19.930 14.132 90.00 90.00 90.00
Space group Cmc2_1 (No. 36)
Unique sites:
Tm  0.000  0.193  0.000 (multiplicity 4)
Mn  0.000  0.430  0.401 (multiplicity 4)
Sn  0.000  0.073  0.342 (multiplicity 4)
Sn  0.000  0.170  0.650 (multiplicity 4)
Te  0.000  0.032  0.003 (multiplicity 4)
Te  0.000  0.305  0.344 (multiplicity 4)
Te  0.000  0.318  0.650 (multiplicity 4)
Te  0.000  0.343  0.000 (multiplicity 4)
Te  0.000  0.497  0.240 (multiplicity 4)

N(E_F) = 15.0 states/eV/cell
E_form (uncorrected) = -488 meV per atom